Entry 1:
The following is a DFT calculation (GGA-PBEsol) of Li2RhAu after structural relaxation.

Output
Magnetic moment = 0.002 μB per cell
Symmetry = P2/m
ΔE_f = -240 meV/atom

Unit cell a=2.680 b=4.287 c=4.858 alpha=90.00 beta=92.79 gamma=90.00
Element x y z (fractional)
Li (0.231, 0.000, 0.233)
Li (0.769, 0.000, 0.767)
Rh (0.500, 0.500, 0.000)
Au (0.000, 0.500, 0.500)

Entry 2:
The following is a DFT calculation (GGA-PBEsol) of RbZn2BiMo after structural relaxation.

Output
Magnetic moment = 3.748 μB per cell
Symmetry = P4/mmm
ΔE_f = 2031 meV/atom

Unit cell a=5.464 b=5.464 c=6.437 alpha=90.00 beta=90.00 gamma=90.00
Element x y z (fractional)
Rb (0.000, 0.000, 0.000)
Zn (0.000, 0.500, 0.000)
Zn (0.500, 0.000, 0.000)
Bi (0.000, 0.000, 0.500)
Mo (0.500, 0.500, 0.500)

Entry 3:
The following is a DFT calculation (GGA-PBEsol) of Nb3ZnAu after structural relaxation.

Output
Magnetic moment = 0.000 μB per cell
Symmetry = P2_13
ΔE_f = -119 meV/atom

Unit cell a=6.926 b=6.926 c=6.926 alpha=90.00 beta=90.00 gamma=90.00
Element x y z (fractional)
Nb (0.048, 0.120, 0.793)
Nb (0.120, 0.793, 0.048)
Nb (0.207, 0.548, 0.380)
Nb (0.293, 0.452, 0.880)
Nb (0.380, 0.207, 0.548)
Nb (0.452, 0.880, 0.293)
Nb (0.548, 0.380, 0.207)
Nb (0.620, 0.707, 0.952)
Nb (0.707, 0.952, 0.620)
Nb (0.793, 0.048, 0.120)
Nb (0.880, 0.293, 0.452)
Nb (0.952, 0.620, 0.707)
Zn (0.064, 0.936, 0.436)
Zn (0.436, 0.064, 0.936)
Zn (0.564, 0.564, 0.564)
Zn (0.936, 0.436, 0.064)
Au (0.185, 0.185, 0.185)
Au (0.315, 0.815, 0.685)
Au (0.685, 0.315, 0.815)
Au (0.815, 0.685, 0.315)

Entry 4:
The following is a DFT calculation (GGA-PBEsol) of Ba2YMn3O8 after structural relaxation.

Output
Uncorrected formation energy = -33.1 eV per formula unit
Magnetic moment = 11.786 μB per cell
Symmetry = P4/mmm

Unit cell a=3.892 b=3.892 c=11.474 alpha=90.00 beta=90.00 gamma=90.00
Element x y z (fractional)
Ba (0.000, 0.000, 0.168)
Ba (0.000, 0.000, 0.832)
Y (0.000, 0.000, 0.500)
Mn (0.500, 0.500, 0.000)
Mn (0.500, 0.500, 0.345)
Mn (0.500, 0.500, 0.655)
O (0.000, 0.500, 0.000)
O (0.000, 0.500, 0.378)
O (0.000, 0.500, 0.622)
O (0.500, 0.000, 0.000)
O (0.500, 0.000, 0.378)
O (0.500, 0.000, 0.622)
O (0.500, 0.500, 0.176)
O (0.500, 0.500, 0.824)